[1]
First-principles (PBE) data for a relaxed Eu2TmAl crystal, as listed in Alexandria.

a b c (Å): 3.7136 3.7136 9.0024
angles (deg): 90.00 90.00 90.00
Site moments in Bohr magnetons follow the coordinates.
Element x y z (fractional)
Eu1 0.0000 0.0000 0.7883  6.87
Eu2 0.0000 0.0000 0.2117  6.87
Al1 0.5000 0.5000 0.0000  -0.02
Tm1 0.5000 0.5000 0.5000  0.56

Calculated values
E above lowest polymorph = 30 meV per atom
Uncorrected energy = -7.21 eV/atom
Crystal system = tetragonal
M_tot = 3.806 μB per atom
Calculated density = 6.7 g cm⁻³
Formation energy from the elements = -0.021 eV per atom

[2]
First-principles (PBE) data for a relaxed EuTm2Al crystal, as listed in Alexandria.

a b c (Å): 5.3482 5.3482 5.3482
angles (deg): 60.00 60.00 60.00
Site moments in Bohr magnetons follow the coordinates.
Element x y z (fractional)
Al1 0.0000 0.0000 0.0000  0.02
Tm1 0.7500 0.7500 0.7500  -0.09
Tm2 0.2500 0.2500 0.2500  -0.09
Eu1 0.5000 0.5000 0.5000  -6.84

Calculated values
E above lowest polymorph = 146 meV per atom
Uncorrected energy = -5.75 eV/atom
Crystal system = cubic
M_tot = 1.794 μB per atom
Calculated density = 7.9 g cm⁻³
Formation energy from the elements = -0.006 eV per atom

[3]
First-principles (PBE) data for a relaxed EuTmAl crystal, as listed in Alexandria.

a b c (Å): 3.4839 5.2062 5.2062
angles (deg): 120.00 90.00 90.00
Site moments in Bohr magnetons follow the coordinates.
Element x y z (fractional)
Tm1 0.3962 0.3333 0.6667  0.06
Al1 0.6246 0.6667 0.3333  -0.02
Eu1 0.9792 0.0000 0.0000  6.85

Calculated values
E above lowest polymorph = 100 meV per atom
Uncorrected energy = -6.22 eV/atom
Crystal system = trigonal
M_tot = 2.375 μB per atom
Calculated density = 7.1 g cm⁻³
Formation energy from the elements = -0.060 eV per atom

[4]
First-principles (PBE) data for a relaxed EuTmAl crystal, as listed in Alexandria.

a b c (Å): 3.6558 3.6558 6.9153
angles (deg): 105.33 105.33 90.00
Site moments in Bohr magnetons follow the coordinates.
Element x y z (fractional)
Eu1 0.9697 0.9697 0.9393  6.86
Al1 0.6278 0.6278 0.2556  -0.01
Tm1 0.2525 0.2525 0.5051  0.05

Calculated values
E above lowest polymorph = 0 meV per atom
Uncorrected energy = -6.32 eV/atom
Crystal system = tetragonal
M_tot = 2.420 μB per atom
Calculated density = 6.7 g cm⁻³
Formation energy from the elements = -0.160 eV per atom